Computed, not measured: a relaxed structure of HfMo2O8 at the GGA+U level of DFT.

Volume: 13.43 Å³ per atom
Space group: C2/c, No. 15
Total energy: -0.28968 hartree per atom
M_tot: 0.00 μB/f.u.
Fermi-level density of states: 0.00 states/eV/f.u.

a = 7.0264 Å, b = 7.0264 Å, c = 7.5574 Å
α = 63.90°, β = 63.90°, γ = 69.80°
Positions (direct):
Hf1 0.9798 0.0202 0.7500
Hf2 0.0202 0.9798 0.2500
Mo1 0.0623 0.5055 0.7582
Mo2 0.5055 0.0623 0.2582
Mo3 0.9377 0.4945 0.2418
Mo4 0.4945 0.9377 0.7418
O1 0.0520 0.6556 0.2884
O2 0.0094 0.6851 0.9365
O3 0.6556 0.0520 0.7884
O4 0.4104 0.3336 0.1660
O5 0.7953 0.0203 0.0770
O6 0.3444 0.9480 0.2116
O7 0.2047 0.9797 0.9230
O8 0.9797 0.2047 0.4230
O9 0.3336 0.4104 0.6660
O10 0.9480 0.3444 0.7116
O11 0.0203 0.7953 0.5770
O12 0.3149 0.9906 0.5635
O13 0.9906 0.3149 0.0635
O14 0.6664 0.5896 0.3340
O15 0.5896 0.6664 0.8340
O16 0.6851 0.0094 0.4365